No. 1
Below is a relaxed BaZn3Ga crystal, with properties calculated at the PBE-GGA level.

Lattice parameters (Å, degrees): 5.0523 5.0523 5.0523 90.00 90.00 90.00
Sites, in units of the cell vectors:
Ba: 0.5000 0.5000 0.5000
Zn: 0.5000 0.0000 0.0000
Zn: 0.0000 0.5000 0.0000
Zn: 0.0000 0.0000 0.5000
Ga: 0.0000 0.0000 0.0000

Output
Energy relative to the lowest polymorph listed for this composition ... 1.27 eV per formula unit
Symmetry ... Pm-3m, No. 221
Total magnetization ... 0.00 μB per cell
Energy of formation from the pure elements ... 0.000 eV/atom

=====

No. 2
Below is a relaxed Ba3Zn2Ga crystal, with properties calculated at the PBE-GGA level.

Lattice parameters (Å, degrees): 7.8335 7.8335 7.0856 81.86 81.86 92.97
Sites, in units of the cell vectors:
Ga: 0.2970 0.7030 0.7500
Ba: 0.5998 0.4002 0.7500
Zn: 0.0404 0.6294 0.5813
Ba: 0.7298 0.9334 0.5866
Ba: 0.9334 0.7298 0.0866
Ba: 0.4002 0.5998 0.2500
Ga: 0.7030 0.2970 0.2500
Zn: 0.3706 0.9596 0.9187
Ba: 0.2702 0.0666 0.4134
Zn: 0.6294 0.0404 0.0813
Ba: 0.0666 0.2702 0.9134
Zn: 0.9596 0.3706 0.4187

Output
Symmetry ... C2/c, No. 15
Total magnetization ... 0.00 μB per cell
Energy of formation from the pure elements ... -0.237 eV/atom

=====

No. 3
Below is a relaxed Ba2Zn2Ga3 crystal, with properties calculated at the PBE-GGA level.

Lattice parameters (Å, degrees): 4.3894 6.7178 7.0063 99.12 90.00 109.07
Sites, in units of the cell vectors:
Ga: 0.5000 0.0000 0.0000
Zn: 0.0900 0.1799 0.1893
Zn: 0.9100 0.8201 0.8107
Ba: 0.1737 0.3474 0.7284
Ga: 0.5670 0.1340 0.3762
Ba: 0.8263 0.6526 0.2716
Ga: 0.4330 0.8660 0.6238

Output
Symmetry ... C2/m, No. 12
Total magnetization ... 0.00 μB per cell
Energy of formation from the pure elements ... -0.320 eV/atom

=====

No. 4
Below is a relaxed BaZn2Ga6 crystal, with properties calculated at the PBE-GGA level.

Lattice parameters (Å, degrees): 4.9062 4.9062 7.8598 90.00 90.00 90.00
Sites, in units of the cell vectors:
Ga: 0.0000 0.0000 0.5000
Ga: 0.5000 0.5000 0.5000
Ga: 0.5000 0.0000 0.3187
Ba: 0.0000 0.0000 0.0000
Ga: 0.0000 0.5000 0.6813
Ga: 0.5000 0.0000 0.6813
Zn: 0.5000 0.5000 0.1593
Zn: 0.5000 0.5000 0.8407
Ga: 0.0000 0.5000 0.3187

Output
Symmetry ... P4/mmm, No. 123
Total magnetization ... 0.00 μB per cell
Energy of formation from the pure elements ... -0.212 eV/atom

=====

No. 5
Below is a relaxed Ba2Zn2Ga crystal, with properties calculated at the PBE-GGA level.

Lattice parameters (Å, degrees): 4.9633 6.3454 10.7620 85.54 76.67 66.98
Sites, in units of the cell vectors:
Zn: 0.8534 0.7398 0.5534
Ga: 0.7754 0.0987 0.3505
Zn: 0.9861 0.9132 0.1146
Ba: 0.7133 0.6923 0.8812
Ba: 0.5223 0.2977 0.6576
Ba: 0.2867 0.3077 0.1188
Zn: 0.0139 0.0867 0.8854
Zn: 0.1466 0.2602 0.4466
Ba: 0.4777 0.7023 0.3424
Ga: 0.2246 0.9013 0.6495

Output
Energy relative to the lowest polymorph listed for this composition ... 0.00 eV per formula unit
Symmetry ... C2/m, No. 12
Total magnetization ... 0.00 μB per cell
Energy of formation from the pure elements ... -0.244 eV/atom

=====

No. 6
Below is a relaxed BaZr2Ga crystal, with properties calculated at the PBE-GGA level.

Lattice parameters (Å, degrees): 5.0988 5.0988 10.9207 76.50 76.50 90.00
Sites, in units of the cell vectors:
Zr: 0.3178 0.6250 0.2500
Ga: 0.2500 0.7500 0.5000
Ba: 0.0000 0.0000 0.0000
Ga: 0.5000 0.5000 0.0000
Zr: 0.3750 0.5678 0.7500
Zr: 0.8750 0.6822 0.7500
Ba: 0.7500 0.2500 0.5000
Zr: 0.4322 0.1250 0.2500

Output
Symmetry ... I-42d, No. 122
Total magnetization ... 0.00 μB per cell
Energy of formation from the pure elements ... 0.530 eV/atom

=====

No. 7
Below is a relaxed BaZrGa3 crystal, with properties calculated at the PBE-GGA level.

Lattice parameters (Å, degrees): 5.3078 5.3078 5.3078 90.00 90.00 90.00
Sites, in units of the cell vectors:
Ga: 0.0000 0.5000 0.0000
Ga: 0.0000 0.0000 0.5000
Zr: 0.0000 0.0000 0.0000
Ga: 0.5000 0.0000 0.0000
Ba: 0.5000 0.5000 0.5000

Output
Energy relative to the lowest polymorph listed for this composition ... 0.00 eV per formula unit
Symmetry ... Pm-3m, No. 221
Total magnetization ... 0.00 μB per cell
Energy of formation from the pure elements ... -0.131 eV/atom

=====

No. 8
Below is a relaxed BaZrGa3 crystal, with properties calculated at the PBE-GGA level.

Lattice parameters (Å, degrees): 5.5149 5.5149 5.5149 90.00 90.00 90.00
Sites, in units of the cell vectors:
Ga: 0.0000 0.5000 0.0000
Ga: 0.0000 0.0000 0.5000
Ba: 0.0000 0.0000 0.0000
Zr: 0.5000 0.5000 0.5000
Ga: 0.5000 0.0000 0.0000

Output
Energy relative to the lowest polymorph listed for this composition ... 7.40 eV per formula unit
Symmetry ... Pm-3m, No. 221
Total magnetization ... 1.20 μB per cell
Energy of formation from the pure elements ... 1.349 eV/atom

=====

No. 9
Below is a relaxed Ba3Gd crystal, with properties calculated at the PBE-GGA level.

Lattice parameters (Å, degrees): 5.9845 5.9845 7.2736 114.29 114.29 90.00
Sites, in units of the cell vectors:
Ba: 0.2500 0.7500 0.5000
Gd: 0.0000 0.0000 0.0000
Ba: 0.5000 0.5000 0.0000
Ba: 0.7500 0.2500 0.5000

Output
Energy relative to the lowest polymorph listed for this composition ... 0.07 eV per formula unit
Symmetry ... I4/mmm, No. 139
Total magnetization ... 8.21 μB per cell
Energy of formation from the pure elements ... 0.204 eV/atom

=====

No. 10
Below is a relaxed Ba3Gd crystal, with properties calculated at the PBE-GGA level.

Lattice parameters (Å, degrees): 4.1658 6.8414 7.3505 90.00 90.00 90.00
Sites, in units of the cell vectors:
Ba: 0.0000 0.5000 0.3193
Ba: 0.5000 0.0000 0.5043
Ba: 0.5000 0.5000 0.8381
Gd: 0.0000 0.0000 0.0049

Output
Energy relative to the lowest polymorph listed for this composition ... 0.02 eV per formula unit
Symmetry ... Pmm2, No. 25
Total magnetization ... 8.07 μB per cell
Energy of formation from the pure elements ... 0.191 eV/atom

=====

No. 11
Below is a relaxed Ba3Gd crystal, with properties calculated at the PBE-GGA level.

Lattice parameters (Å, degrees): 4.2684 7.1819 8.0571 116.47 105.36 90.00
Sites, in units of the cell vectors:
Ba: 0.2624 0.6141 0.5249
Ba: 0.7376 0.0892 0.4751
Ba: 0.5000 0.4824 0.0000
Gd: 0.0000 0.9809 0.0000

Output
Energy relative to the lowest polymorph listed for this composition ... 0.00 eV per formula unit
Symmetry ... Imm2, No. 44
Total magnetization ... 7.96 μB per cell
Energy of formation from the pure elements ... 0.186 eV/atom

=====

No. 12
Below is a relaxed BaGd2 crystal, with properties calculated at the PBE-GGA level.

Lattice parameters (Å, degrees): 3.7678 3.7678 8.8232 102.33 102.33 90.00
Sites, in units of the cell vectors:
Ba: 0.0000 0.0000 0.0000
Gd: 0.6832 0.6832 0.3665
Gd: 0.3168 0.3168 0.6335

Output
Energy relative to the lowest polymorph listed for this composition ... 0.00 eV per formula unit
Symmetry ... I4/mmm, No. 139
Total magnetization ... 15.14 μB per cell
Energy of formation from the pure elements ... 0.153 eV/atom

=====

Which formula does entry 11 have? Ba3Gd